Record 1
# CeThAu

Crystalline CeThAu at its relaxed geometry (GGA-PBE, the Alexandria database).

```
CeThAu
1.0
-1.536 1.789 -2.895
-7.651 -2.023 0.403
-2.137 5.257 1.974
Ce Au Th
2 2 2
direct
0.641 0.456 0.262 Ce
0.359 0.544 0.738 Ce
0.652 0.842 0.854 Au
0.348 0.158 0.146 Au
0.931 0.839 0.299 Th
0.069 0.161 0.701 Th
```

Results
N(E_F)   11.2 states/eV/cell
Energy relative to the lowest polymorph listed for this composition   0.00 eV/f.u.



Record 2
# Nd7Cu2Pd2

Crystalline Nd7Cu2Pd2 at its relaxed geometry (GGA-PBE, the Alexandria database).

```
Nd7Cu2Pd2
1.0
-4.995 4.305 -1.650
-0.495 -3.125 -6.656
-2.475 -5.658 2.840
Nd Cu Pd
7 2 2
direct
0.500 0.723 0.000 Nd
0.500 0.268 0.500 Nd
0.000 0.000 0.000 Nd
0.500 0.732 0.500 Nd
0.000 0.277 0.500 Nd
0.000 0.723 0.500 Nd
0.500 0.277 0.000 Nd
0.836 0.500 0.836 Cu
0.164 0.500 0.164 Cu
0.704 0.000 0.296 Pd
0.296 0.000 0.704 Pd
```

Results
N(E_F)   14.4 states/eV/cell



| no. | calculated formation energy (eV/atom) |
| --- | --- |
| 1 | -0.375 |
| 2 | -0.115 |